1.
A plane-wave DFT calculation with PBE-GGA was carried out for a relaxed structure of TiGa2Pd2.

Geometry as POSCAR:
```
TiGa2Pd2
1.0
7.4304 0.0000 0.0000
0.0000 7.4304 0.0000
0.0000 0.0000 2.8481
Ti Ga Pd
2 4 4
Cartesian
0.0000 0.0000 0.0000
3.7152 3.7152 0.0000
1.2137 2.5015 1.4241
2.5015 6.2167 1.4241
4.9289 1.2137 1.4241
6.2167 4.9289 1.4241
1.0075 4.7226 0.0000
2.7077 1.0075 0.0000
4.7226 6.4229 0.0000
6.4229 2.7077 0.0000
```

Summary:
- Raw total energy: -5.332 eV per atom


2.
A plane-wave DFT calculation with PBE-GGA was carried out for a relaxed structure of Ti6Ga2Pd.

Geometry as POSCAR:
```
Ti6Ga2Pd
1.0
-2.1133 3.0992 6.4615
2.1133 -3.0992 6.4615
2.1133 3.0992 -6.4615
Ti Ga Pd
6 2 1
Cartesian
2.1133 -1.5701 4.3133
2.1133 1.5564 0.0000
0.0000 1.5291 2.1481
2.1133 1.5701 4.3133
0.0000 1.5427 6.4615
0.0000 4.6693 2.1481
0.0000 0.0000 4.3104
0.0000 0.0000 8.6125
0.0000 0.0000 0.0000
```

Summary:
- Raw total energy: -6.483 eV per atom


3.
A plane-wave DFT calculation with PBE-GGA was carried out for a relaxed structure of Ti6GaPd.

Geometry as POSCAR:
```
Ti6GaPd
1.0
5.6599 0.0000 0.0000
0.0000 5.6599 0.0000
0.0000 0.0000 4.0665
Ti Ga Pd
6 1 1
Cartesian
0.0000 2.8299 0.0000
1.3803 1.3803 2.0332
1.3803 4.2796 2.0332
2.8299 0.0000 0.0000
4.2796 1.3803 2.0332
4.2796 4.2796 2.0332
0.0000 0.0000 0.0000
2.8299 2.8299 0.0000
```

Summary:
- Raw total energy: -7.230 eV per atom


4.
A plane-wave DFT calculation with PBE-GGA was carried out for a relaxed structure of TiGa4Pd.

Geometry as POSCAR:
```
TiGa4Pd
1.0
2.2031 -2.4227 0.0000
2.2031 2.4227 0.0000
0.0000 0.0000 9.0390
Ti Ga Pd
1 4 1
Cartesian
0.0000 0.0000 0.0000
0.0000 0.0000 3.0826
0.0000 0.0000 5.9565
2.2031 0.0000 1.5797
2.2031 0.0000 7.4594
2.2031 0.0000 4.5195
```

Summary:
- Raw total energy: -4.514 eV per atom


5.
A plane-wave DFT calculation with PBE-GGA was carried out for a relaxed structure of Ti6GaPd.

Geometry as POSCAR:
```
Ti6GaPd
1.0
5.0621 0.0000 0.0000
0.0000 5.0621 0.0000
0.0000 0.0000 5.0621
Ti Ga Pd
6 1 1
Cartesian
0.0000 1.2750 2.5310
0.0000 3.7870 2.5310
1.2750 2.5310 0.0000
2.5310 0.0000 1.2750
2.5310 0.0000 3.7870
3.7870 2.5310 0.0000
0.0000 0.0000 0.0000
2.5310 2.5310 2.5310
```

Summary:
- Raw total energy: -7.279 eV per atom


6.
A plane-wave DFT calculation with PBE-GGA was carried out for a relaxed structure of Ti2GaPd9.

Geometry as POSCAR:
```
Ti2GaPd9
1.0
3.9260 0.0000 0.0000
0.0000 3.9260 0.0000
0.0000 0.0000 11.7624
Ti Ga Pd
2 1 9
Cartesian
0.0000 0.0000 2.0038
0.0000 0.0000 9.7586
0.0000 0.0000 5.8812
0.0000 1.9630 0.0000
0.0000 1.9630 3.8899
0.0000 1.9630 7.8725
1.9630 0.0000 0.0000
1.9630 0.0000 3.8899
1.9630 0.0000 7.8725
1.9630 1.9630 1.9497
1.9630 1.9630 5.8812
1.9630 1.9630 9.8128
```

Summary:
- Raw total energy: -6.066 eV per atom


7.
A plane-wave DFT calculation with PBE-GGA was carried out for a relaxed structure of Ti5Ga12Pd2.

Geometry as POSCAR:
```
Ti5Ga12Pd2
1.0
6.8200 -3.4019 0.0000
6.8200 3.4019 0.0000
-0.8043 0.0000 7.1113
Ti Ga Pd
5 12 2
Cartesian
0.0000 0.0000 0.0000
2.9887 0.0000 1.6951
3.9182 0.0000 5.5556
8.9174 0.0000 1.5558
9.8470 0.0000 5.4163
4.0850 2.0656 3.1094
4.5447 2.0203 0.5300
0.2962 0.0000 2.4160
8.2910 2.0203 6.5813
8.7506 2.0656 4.0020
6.1758 0.0000 1.1833
6.6598 0.0000 5.9281
4.0850 -2.0656 3.1094
4.5447 -2.0203 0.5300
12.5395 0.0000 4.6953
8.2910 -2.0203 6.5813
8.7506 -2.0656 4.0020
6.4178 1.2763 3.5557
6.4178 -1.2763 3.5557
```

Summary:
- Raw total energy: -4.719 eV per atom


8.
A plane-wave DFT calculation with PBE-GGA was carried out for a relaxed structure of Ti8Ga2Pd.

Geometry as POSCAR:
```
Ti8Ga2Pd
1.0
7.2287 -1.9814 0.0000
7.2287 1.9814 0.0000
-2.0348 0.0000 6.2953
Ti Ga Pd
8 2 1
Cartesian
0.3254 0.0000 1.3689
0.5843 0.0000 4.3692
3.4194 0.0000 3.6421
5.8038 0.0000 0.3076
6.6188 0.0000 5.9877
9.0032 0.0000 2.6532
11.8383 0.0000 1.9262
12.0973 0.0000 4.9264
2.9918 0.0000 0.9253
9.4308 0.0000 5.3700
6.2113 0.0000 3.1477
```

Summary:
- Raw total energy: -7.047 eV per atom


9.
A plane-wave DFT calculation with PBE-GGA was carried out for a relaxed structure of Ti2Ga3Pd4.

Geometry as POSCAR:
```
Ti2Ga3Pd4
1.0
2.6762 -7.0032 0.0000
2.6762 7.0032 0.0000
0.0000 0.0000 7.7425
Ti Ga Pd
4 6 8
Cartesian
2.6762 5.7108 7.0751
2.6762 1.2923 3.2038
2.6762 -1.2923 4.5387
2.6762 -5.7108 0.6675
0.0000 0.0000 3.8713
1.3381 3.4568 5.8069
1.3381 -3.4568 1.9356
2.6762 0.0000 0.0000
4.0142 3.4568 5.8069
4.0142 -3.4568 1.9356
2.6762 4.4428 3.9432
1.3381 0.8656 5.8069
1.3381 -0.8656 1.9356
2.6762 2.5604 0.0720
2.6762 -2.5604 7.6706
4.0142 0.8656 5.8069
4.0142 -0.8656 1.9356
2.6762 -4.4428 3.7993
```

Summary:
- Raw total energy: -5.580 eV per atom


10.
A plane-wave DFT calculation with PBE-GGA was carried out for a relaxed structure of Ti7Ga5Pd.

Geometry as POSCAR:
```
Ti7Ga5Pd
1.0
-2.6302 4.5195 4.5969
2.6302 -4.5195 4.5969
2.6302 4.5195 -4.5969
Ti Ga Pd
7 5 1
Cartesian
0.0000 0.0000 0.0000
2.6302 1.3821 1.1332
0.0000 0.0000 2.5959
0.0000 2.9539 1.1159
0.0000 6.0851 1.1159
0.0000 4.5195 3.3128
0.0000 3.1374 5.7301
1.3041 2.2088 -1.1816
3.9564 2.2088 -1.1816
2.6302 0.0000 3.4949
-1.3262 2.3107 3.4152
1.3262 2.3107 3.4152
0.0000 0.0000 6.5425
```

Summary:
- Raw total energy: -6.073 eV per atom


11.
A plane-wave DFT calculation with PBE-GGA was carried out for a relaxed structure of Ti3Ga3Pd.

Geometry as POSCAR:
```
Ti3Ga3Pd
1.0
3.5343 -4.9418 0.0000
3.5343 4.9418 0.0000
-0.8126 0.0000 6.9631
Ti Ga Pd
6 6 2
Cartesian
3.5343 3.6901 0.0000
3.1281 1.3424 3.4816
2.5463 0.0000 0.9083
3.7098 0.0000 6.0548
3.1281 -1.3424 3.4816
3.5343 -3.6901 0.0000
1.1304 2.4145 5.3533
0.6023 0.0000 2.5845
1.1304 -2.4145 5.3533
5.1257 2.4145 1.6098
5.6538 0.0000 4.3786
5.1257 -2.4145 1.6098
1.0740 0.0000 5.1053
5.1822 0.0000 1.8578
```

Summary:
- Raw total energy: -5.639 eV per atom


12.
A plane-wave DFT calculation with PBE-GGA was carried out for a relaxed structure of Ti3GaPd.

Geometry as POSCAR:
```
Ti3GaPd
1.0
4.6590 0.0000 0.0000
0.0000 4.6590 0.0000
0.0000 0.0000 4.6590
Ti Ga Pd
3 1 1
Cartesian
0.0000 0.0000 2.3295
0.0000 2.3295 0.0000
2.3295 0.0000 0.0000
0.0000 0.0000 0.0000
2.3295 2.3295 2.3295
```

Summary:
- Raw total energy: -5.754 eV per atom